A geometry-optimized As2RuPb structure. Source: the Alexandria database, functional PBE.

Formation enthalpy at 0 K in eV per atom: 0.0811
Symmetry: P2/m, No. 10

Unit cell a=4.764 b=4.082 c=4.887 alpha=90.00 beta=111.50 gamma=90.00
Fractional coordinates of all 4 atoms:
As: 0.219 0.000 0.367
As: 0.781 0.000 0.633
Ru: 0.000 0.500 0.500
Pb: 0.500 0.500 0.000

=====

A geometry-optimized CrPtSe2 structure. Source: the Alexandria database, functional PBE.

E_form (uncorrected) in eV per atom: 0.406
Symmetry: F-43m, No. 216

Unit cell a=4.629 b=4.629 c=4.629 alpha=60.00 beta=60.00 gamma=60.00
Fractional coordinates of all 4 atoms:
Cr: 0.000 0.000 0.000
Pt: 0.750 0.750 0.750
Se: 0.250 0.250 0.250
Se: 0.500 0.500 0.500

=====

A geometry-optimized IrRhAu structure. Source: the Alexandria database, functional PBE.

Formation enthalpy at 0 K in eV per atom: 0.2438
Symmetry: P2_1/m, No. 11

Unit cell a=2.774 b=3.589 c=9.825 alpha=90.00 beta=98.04 gamma=90.00
Fractional coordinates of all 6 atoms:
Ir: 0.049 0.250 0.094
Ir: 0.951 0.750 0.906
Rh: 0.384 0.250 0.770
Rh: 0.616 0.750 0.230
Au: 0.204 0.250 0.407
Au: 0.796 0.750 0.593

=====

A geometry-optimized Rb12Hg3I5 structure. Source: the Alexandria database, functional PBE.

E_form (uncorrected) in eV per atom: -0.679
Symmetry: Ia-3d, No. 230

Unit cell a=19.127 b=19.127 c=19.127 alpha=109.47 beta=109.47 gamma=109.47
Fractional coordinates of all 80 atoms:
Rb: 0.051 0.221 0.134
Rb: 0.051 0.330 0.918
Rb: 0.082 0.634 0.412
Rb: 0.082 0.949 0.670
Rb: 0.088 0.721 0.670
Rb: 0.088 0.866 0.418
Rb: 0.134 0.051 0.221
Rb: 0.134 0.582 0.912
Rb: 0.170 0.221 0.588
Rb: 0.170 0.449 0.582
Rb: 0.221 0.134 0.051
Rb: 0.221 0.588 0.170
Rb: 0.279 0.330 0.912
Rb: 0.279 0.449 0.366
Rb: 0.330 0.912 0.279
Rb: 0.330 0.918 0.051
Rb: 0.366 0.279 0.449
Rb: 0.366 0.588 0.918
Rb: 0.412 0.082 0.634
Rb: 0.412 0.830 0.779
Rb: 0.418 0.088 0.866
Rb: 0.418 0.830 0.551
Rb: 0.449 0.366 0.279
Rb: 0.449 0.582 0.170
Rb: 0.551 0.418 0.830
Rb: 0.551 0.634 0.721
Rb: 0.582 0.170 0.449
Rb: 0.582 0.912 0.134
Rb: 0.588 0.170 0.221
Rb: 0.588 0.918 0.366
Rb: 0.634 0.412 0.082
Rb: 0.634 0.721 0.551
Rb: 0.670 0.082 0.949
Rb: 0.670 0.088 0.721
Rb: 0.721 0.551 0.634
Rb: 0.721 0.670 0.088
Rb: 0.779 0.412 0.830
Rb: 0.779 0.866 0.949
Rb: 0.830 0.551 0.418
Rb: 0.830 0.779 0.412
Rb: 0.866 0.418 0.088
Rb: 0.866 0.949 0.779
Rb: 0.912 0.134 0.582
Rb: 0.912 0.279 0.330
Rb: 0.918 0.051 0.330
Rb: 0.918 0.366 0.588
Rb: 0.949 0.670 0.082
Rb: 0.949 0.779 0.866
Hg: 0.125 0.250 0.375
Hg: 0.125 0.375 0.750
Hg: 0.250 0.375 0.125
Hg: 0.250 0.875 0.625
Hg: 0.375 0.125 0.250
Hg: 0.375 0.750 0.125
Hg: 0.625 0.250 0.875
Hg: 0.625 0.875 0.750
Hg: 0.750 0.125 0.375
Hg: 0.750 0.625 0.875
Hg: 0.875 0.625 0.250
Hg: 0.875 0.750 0.625
I: 0.000 0.000 0.000
I: 0.000 0.000 0.500
I: 0.000 0.500 0.000
I: 0.000 0.500 0.500
I: 0.125 0.750 0.875
I: 0.125 0.875 0.250
I: 0.250 0.125 0.875
I: 0.250 0.625 0.375
I: 0.375 0.250 0.625
I: 0.375 0.625 0.750
I: 0.500 0.000 0.000
I: 0.500 0.000 0.500
I: 0.500 0.500 0.000
I: 0.500 0.500 0.500
I: 0.625 0.375 0.250
I: 0.625 0.750 0.375
I: 0.750 0.375 0.625
I: 0.750 0.875 0.125
I: 0.875 0.125 0.750
I: 0.875 0.250 0.125

=====

A geometry-optimized Ba2VFe2 structure. Source: the Alexandria database, functional PBE.

Formation enthalpy at 0 K in eV per atom: 1.0738
Symmetry: I4/mmm, No. 139

Unit cell a=5.867 b=5.867 c=5.867 alpha=115.36 beta=115.36 gamma=98.24
Fractional coordinates of all 5 atoms:
Ba: 0.250 0.750 0.500
Ba: 0.750 0.250 0.500
V: 0.000 0.000 0.000
Fe: 0.363 0.363 0.000
Fe: 0.637 0.637 0.000

=====

A geometry-optimized MnTeS2 structure. Source: the Alexandria database, functional PBE.

E_form (uncorrected) in eV per atom: -0.311
Symmetry: P-1, No. 2

Unit cell a=3.291 b=7.410 c=8.697 alpha=67.87 beta=79.16 gamma=90.00
Fractional coordinates of all 8 atoms:
Mn: 0.000 0.000 0.000
Mn: 0.500 0.500 0.000
Te: 0.151 0.277 0.697
Te: 0.849 0.723 0.303
S: 0.102 0.553 0.795
S: 0.458 0.161 0.084
S: 0.542 0.839 0.916
S: 0.898 0.447 0.205

=====

| no. | DOS(E_F) (states/eV per cell) |
| --- | --- |
| 1 | 2.79 |
| 2 | 4.01 |
| 3 | 6.40 |
| 4 | 63.64 |
| 5 | 8.98 |
| 6 | 4.83 |